No. 1
Compound: B2Pd5
Source: Alexandria via LeMat-Bulk
Functional: PBEsol
Structure: relaxed

Calculated values
- Final energy: -0.483 Ry/atom
- Energy relative to the elements: -0.310 eV per atom
- Magnetic moment: 0.0 μB/f.u.

a b c (Å): 12.6968 4.9329 5.4602
angles (deg): 90.00 97.15 90.00
Last column: nearest neighbours and their distance in Å.
Space group C2/c (No. 15)
Inequivalent atoms, fractional coordinates:
B: 0.1140 0.2024 0.0786  6 Pd 2.12-2.27
Pd: 0.0000 0.0731 0.7500  4 B 2.25-2.27
Pd: 0.0955 0.4050 0.4204  2 B 2.12-2.16
Pd: 0.2132 0.0732 0.8133  2 B 2.13-2.16

***

No. 2
Compound: BPd6
Source: Alexandria via LeMat-Bulk
Functional: PBEsol
Structure: relaxed

Calculated values
- Final energy: -0.464 Ry/atom
- Energy relative to the elements: -0.202 eV per atom
- Magnetic moment: 0.0 μB/f.u.

a b c (Å): 4.9002 8.4560 9.3420
angles (deg): 90.00 99.82 90.00
Last column: nearest neighbours and their distance in Å.
Space group C2/c (No. 15)
Inequivalent atoms, fractional coordinates:
B: 0.0000 0.0812 0.2500  6 Pd 2.05
Pd: 0.1150 0.4178 0.6224  1 B 2.05
Pd: 0.1287 0.0892 0.6211  1 B 2.05
Pd: 0.1297 0.2541 0.1224  1 B 2.05

***

No. 3
Compound: B2PdPt2
Source: Alexandria via LeMat-Bulk
Functional: PBEsol
Structure: relaxed

Calculated values
- Final energy: -0.511 Ry/atom
- Energy relative to the elements: -0.174 eV per atom
- Magnetic moment: 0.0 μB/f.u.

a b c (Å): 3.0501 3.0501 12.9864
angles (deg): 90.00 90.00 90.00
Last column: nearest neighbours and their distance in Å.
Space group I4/mmm (No. 139)
Inequivalent atoms, fractional coordinates:
B: 0.0000 0.5000 0.2500  4 Pt 2.11, 4 B 2.16
Pd: 0.0000 0.0000 0.0000  8 Pt 2.80, 4 Pd 3.05
Pt: 0.0000 0.0000 0.3627  4 B 2.11

***

No. 4
Compound: B2PdPt
Source: Alexandria via LeMat-Bulk
Functional: PBEsol
Structure: relaxed

Calculated values
- Final energy: -0.462 Ry/atom
- Energy relative to the elements: 0.446 eV per atom
- Magnetic moment: 0.0 μB/f.u.

a b c (Å): 5.5254 5.5254 5.5254
angles (deg): 90.00 90.00 90.00
Last column: nearest neighbours and their distance in Å.
Space group Fm-3m (No. 225)
Inequivalent atoms, fractional coordinates:
B: 0.2500 0.2500 0.2500  4 Pd 2.39, 4 Pt 2.39
Pd: 0.0000 0.0000 0.0000  8 B 2.39
Pt: 0.0000 0.0000 0.5000  8 B 2.39

***

No. 5
Compound: B3PdPt
Source: Alexandria via LeMat-Bulk
Functional: PBEsol
Structure: relaxed

Calculated values
- Final energy: -0.415 Ry/atom
- Energy relative to the elements: 1.142 eV per atom
- Magnetic moment: 0.0 μB/f.u.

a b c (Å): 4.0572 4.0572 4.0572
angles (deg): 90.00 90.00 90.00
Last column: nearest neighbours and their distance in Å.
Space group Pm-3m (No. 221)
Inequivalent atoms, fractional coordinates:
B: 0.0000 0.0000 0.5000  2 Pt 2.03
Pd: 0.5000 0.5000 0.5000  12 B 2.87
Pt: 0.0000 0.0000 0.0000  6 B 2.03

***

No. 6
Compound: BPd2Pt
Source: Alexandria via LeMat-Bulk
Functional: PBEsol
Structure: relaxed

Calculated values
- Final energy: -0.478 Ry/atom
- Energy relative to the elements: -0.029 eV per atom
- Magnetic moment: 0.0 μB/f.u.

a b c (Å): 6.6598 6.6598 4.7672
angles (deg): 90.00 90.00 90.00
Last column: nearest neighbours and their distance in Å.
Space group I-42d (No. 122)
Inequivalent atoms, fractional coordinates:
B: 0.0000 0.0000 0.0000  4 Pd 2.08
Pd: 0.1644 0.2500 0.1250  2 B 2.08
Pt: 0.0000 0.0000 0.5000  2 B 2.38